Entry from Alexandria via LeMat-Bulk: an optimized crystal structure of Na3NbRh3O8 (PBE).

a b c (Å): 10.7828 6.2420 6.5889
angles (deg): 90.00 122.96 90.00
With the nearest neighbours (Å) after each atom.
Space group C2/m (No. 12)
One atom of each set of equivalent atoms:
Na 0.0000 0.0000 0.0000 x2  6 O 2.43-2.46
Na 0.2500 0.2500 0.0000 x4  6 O 2.42-2.47
Nb 0.0000 0.0000 0.5000 x2  6 O 2.06
Rh 0.0000 0.5000 0.5000 x2  6 O 2.10-2.14
Rh 0.2500 0.2500 0.5000 x4  6 O 2.10-2.15
O 0.0134 0.2416 0.2999 x8  1 Nb 2.06, 2 Rh 2.14
O 0.2272 0.0000 0.7008 x4  1 Nb 2.06, 2 Rh 2.15
O 0.2324 0.5000 0.6954 x4  3 Rh 2.10

Summary:
formation energy (no corrections)	-1.311	eV per atom

=====

Entry from Alexandria via LeMat-Bulk: an optimized crystal structure of NaNb2RuO8 (PBE).

a b c (Å): 4.7887 4.7952 6.3795
angles (deg): 89.80 89.81 88.03
With the nearest neighbours (Å) after each atom.
Space group P-1 (No. 2)
One atom of each set of equivalent atoms:
Na 0.0000 0.0000 0.0000 x1  6 O 2.20-2.31
Nb 0.4793 0.4795 0.2432 x2  5 O 1.91-2.07
Ru 0.0000 0.0000 0.5000 x1  6 O 1.94-2.03
O 0.2082 0.7903 0.2884 x2  1 Ru 1.94, 1 Nb 1.96
O 0.2113 0.7934 0.7116 x2  1 Ru 1.94, 1 Nb 1.96
O 0.2941 0.2956 0.4975 x2  1 Ru 2.03, 1 Nb 2.06
O 0.3182 0.3202 0.9995 x2  2 Nb 1.91-2.07

Summary:
formation energy (no corrections)	-1.905	eV per atom

=====

Entry from Alexandria via LeMat-Bulk: an optimized crystal structure of NaNbRuO6 (PBE).

a b c (Å): 5.2781 5.2781 10.3293
angles (deg): 90.00 90.00 120.00
With the nearest neighbours (Å) after each atom.
Space group P-31c (No. 163)
One atom of each set of equivalent atoms:
Na 0.0000 0.0000 0.0000 x2  6 O 2.49
Nb 0.3333 0.6667 0.2500 x2  6 O 2.02
Ru 0.3333 0.6667 0.7500 x2  6 O 1.94
O 0.0105 0.3825 0.6451 x12  1 Ru 1.94, 1 Nb 2.02

Summary:
formation energy (no corrections)	-1.567	eV per atom

=====

Entry from Alexandria via LeMat-Bulk: an optimized crystal structure of Na2NbRuO6 (PBE).

a b c (Å): 5.5768 5.5768 3.9195
angles (deg): 90.00 90.00 90.00
With the nearest neighbours (Å) after each atom.
Space group P4/mmm (No. 123)
One atom of each set of equivalent atoms:
Na 0.0000 0.5000 0.0000 x2  12 O 2.78-2.79
Nb 0.0000 0.0000 0.5000 x1  6 O 1.96-1.99
Ru 0.5000 0.5000 0.5000 x1  6 O 1.95-1.96
O 0.0000 0.0000 0.0000 x1  2 Nb 1.96
O 0.2527 0.2527 0.5000 x4  1 Ru 1.95, 1 Nb 1.99
O 0.5000 0.5000 0.0000 x1  2 Ru 1.96

Summary:
formation energy (no corrections)	-1.759	eV per atom

=====

Entry from Alexandria via LeMat-Bulk: an optimized crystal structure of Na2NbSO8 (PBE).

a b c (Å): 6.3092 6.3092 5.0872
angles (deg): 90.00 90.00 120.00
With the nearest neighbours (Å) after each atom.
Space group P-3m1 (No. 164)
One atom of each set of equivalent atoms:
Na 0.3333 0.6667 0.1124 x2  5 O 2.32-2.58
Nb 0.0000 0.0000 0.5000 x1  6 O 2.04
S 0.0000 0.0000 0.0000 x1  6 O 1.71
O 0.1250 0.2500 0.2010 x6  1 S 1.71
O 0.3333 0.6667 0.6200 x2  2 Na 2.50-2.58

Summary:
formation energy (no corrections)	-0.859	eV per atom

=====

Entry from Alexandria via LeMat-Bulk: an optimized crystal structure of NaNbS2O8 (PBE).

a b c (Å): 4.9357 4.9357 7.9149
angles (deg): 90.00 90.00 120.00
With the nearest neighbours (Å) after each atom.
Space group P-3 (No. 147)
One atom of each set of equivalent atoms:
Na 0.0000 0.0000 0.0000 x1  12 O 2.91-3.08
Nb 0.0000 0.0000 0.5000 x1  6 O 2.15
S 0.3333 0.6667 0.7386 x2  4 O 1.46-1.51
O 0.0662 0.3649 0.6726 x6  1 S 1.51
O 0.3333 0.6667 0.9226 x2  1 S 1.46

Summary:
formation energy (no corrections)	-1.562	eV per atom

=====

Entry from Alexandria via LeMat-Bulk: an optimized crystal structure of NaNbSO2 (PBE).

a b c (Å): 3.9751 3.9751 5.0409
angles (deg): 90.00 90.00 90.00
With the nearest neighbours (Å) after each atom.
Space group P4/mmm (No. 123)
One atom of each set of equivalent atoms:
Na 0.0000 0.0000 0.0000 x1  4 S 2.81
Nb 0.5000 0.5000 0.5000 x1  4 O 1.99
S 0.5000 0.5000 0.0000 x1  2 Nb 2.52, 4 Na 2.81
O 0.0000 0.5000 0.5000 x2  2 Nb 1.99

Summary:
formation energy (no corrections)	-1.859	eV per atom

=====

Entry from Alexandria via LeMat-Bulk: an optimized crystal structure of NaNbSb2O8 (PBE).

a b c (Å): 6.7383 7.0314 6.3115
angles (deg): 90.00 90.00 90.00
With the nearest neighbours (Å) after each atom.
Space group Cmmm (No. 65)
One atom of each set of equivalent atoms:
Na 0.0000 0.0000 0.0000 x2  6 O 2.24-2.25
Nb 0.0000 0.0000 0.5000 x2  6 O 1.97-2.16
Sb 0.0000 0.5000 0.2456 x4  6 O 1.99-2.10
O 0.0000 0.3069 0.5000 x4  2 Sb 2.10, 1 Nb 2.16
O 0.0000 0.3184 0.0000 x4  2 Sb 2.01, 1 Na 2.24
O 0.2066 0.0000 0.2802 x8  1 Nb 1.97, 1 Sb 1.99

Summary:
formation energy (no corrections)	-1.758	eV per atom

=====

Entry from Alexandria via LeMat-Bulk: an optimized crystal structure of NaNbSbO6 (PBE).

a b c (Å): 5.4556 5.4556 9.9879
angles (deg): 90.00 90.00 120.00
With the nearest neighbours (Å) after each atom.
Space group P-31c (No. 163)
One atom of each set of equivalent atoms:
Na 0.0000 0.0000 0.0000 x2  6 O 2.52
Nb 0.3333 0.6667 0.2500 x2  6 O 2.02
Sb 0.3333 0.6667 0.7500 x2  6 O 2.01
O 0.0017 0.3833 0.6411 x12  1 Sb 2.01, 1 Nb 2.02

Summary:
formation energy (no corrections)	-1.690	eV per atom

=====

Entry from Alexandria via LeMat-Bulk: an optimized crystal structure of NaNbSb2O6 (PBE).

a b c (Å): 5.5715 5.9839 6.1923
angles (deg): 97.77 114.22 113.46
With the nearest neighbours (Å) after each atom.
Space group P1 (No. 1)
One atom of each set of equivalent atoms:
Na 0.0000 0.0000 0.0000 x1  4 O 2.32-2.38
Nb 0.0857 0.5614 0.5196 x1  4 O 1.90-2.03
Sb 0.4119 0.1520 0.6759 x1  3 O 1.99-2.19
Sb 0.5030 0.6830 0.2678 x1  3 O 2.03-2.09
O 0.0482 0.8806 0.3509 x1  1 Sb 1.99
O 0.0931 0.4095 0.2241 x1  1 Nb 1.95, 1 Sb 2.09
O 0.1630 0.3473 0.7073 x1  1 Nb 1.90
O 0.2410 0.8770 0.8139 x1  1 Nb 2.03, 1 Sb 2.04
O 0.5523 0.8279 0.6078 x1  1 Sb 2.03, 1 Nb 2.21
O 0.6499 0.4296 0.3660 x1  1 Nb 1.95, 1 Sb 2.04

Summary:
formation energy (no corrections)	-1.810	eV per atom

=====

Entry from Alexandria via LeMat-Bulk: an optimized crystal structure of NaSc2NbO6 (PBE).

a b c (Å): 5.4382 5.4382 14.6539
angles (deg): 90.00 90.00 120.00
With the nearest neighbours (Å) after each atom.
Space group R3 (No. 146, hexagonal axes)
One atom of each set of equivalent atoms:
Na 0.0000 0.0000 0.0000 x3  3 O 2.30
Sc 0.0000 0.0000 0.2790 x3  6 O 2.13-2.16
Sc 0.0000 0.0000 0.7772 x3  6 O 2.03-2.26
Nb 0.0000 0.0000 0.4818 x3  6 O 1.96-2.11
O 0.0012 0.3450 0.2053 x9  1 Nb 1.96, 1 Sc 2.16
O 0.0333 0.6153 0.0481 x9  2 Sc 2.03-2.13, 1 Nb 2.11

Summary:
formation energy (no corrections)	-2.943	eV per atom

=====

Entry from Alexandria via LeMat-Bulk: an optimized crystal structure of Na2Nb4Se4O19 (PBE).

a b c (Å): 4.0127 10.4152 11.1629
angles (deg): 106.30 90.33 96.90
With the nearest neighbours (Å) after each atom.
Space group P-1 (No. 2)
One atom of each set of equivalent atoms:
Na 0.2399 0.0660 0.1370 x2  5 O 2.39-2.67
Nb 0.3518 0.1923 0.7052 x2  3 O 1.83-2.00
Nb 0.4322 0.4443 0.3193 x2  3 O 1.84-1.94
Se 0.2773 0.7176 0.9841 x2  3 O 1.68-1.79
Se 0.3422 0.8306 0.5871 x2  3 O 1.73-1.75
O 0.0290 0.5738 0.6914 x2  1 Nb 1.84
O 0.1061 0.8182 0.2938 x2  1 Nb 1.83
O 0.2386 0.8681 0.9609 x2  1 Se 1.68
O 0.3355 0.9822 0.7005 x2  1 Se 1.73
O 0.3622 0.1250 0.5137 x2  1 Se 1.75
O 0.3999 0.2369 0.3286 x2  1 Se 1.73
O 0.4119 0.2322 0.8908 x2  1 Se 1.79
O 0.4380 0.3485 0.1274 x2  1 Se 1.75
O 0.4644 0.3761 0.7000 x2  2 Nb 1.93-1.94
O 0.5000 0.5000 0.5000 x1  2 Nb 1.94

Summary:
formation energy (no corrections)	-1.793	eV per atom

=====

Entry from Alexandria via LeMat-Bulk: an optimized crystal structure of NaNbSe2O8 (PBE).

a b c (Å): 7.8315 6.2899 7.1592
angles (deg): 90.00 90.70 90.00
With the nearest neighbours (Å) after each atom.
Space group C2/m (No. 12)
One atom of each set of equivalent atoms:
Na 0.0000 0.0000 0.0000 x2  6 O 2.43-2.46
Nb 0.0000 0.0000 0.5000 x2  6 O 2.00-2.05
Se 0.0961 0.5000 0.2676 x4  2 O 1.64-1.74
O 0.0322 0.2062 0.2909 x8  1 Se 1.92, 1 Nb 2.00
O 0.1968 0.5000 0.0675 x4  1 Se 1.64
O 0.2415 0.5000 0.4540 x4  1 Se 1.74

Summary:
formation energy (no corrections)	-1.217	eV per atom

=====

Entry from Alexandria via LeMat-Bulk: an optimized crystal structure of NaNbSeO5 (PBE).

a b c (Å): 7.5102 8.6345 7.8586
angles (deg): 90.00 116.81 90.00
With the nearest neighbours (Å) after each atom.
Space group C2/c (No. 15)
One atom of each set of equivalent atoms:
Na 0.0000 0.0630 0.2500 x4  4 O 2.30-2.43
Nb 0.2500 0.2500 0.0000 x4  6 O 1.98-2.09
Se 0.0000 0.4442 0.2500 x4  2 O 1.75
O 0.0000 0.2391 0.7500 x4  2 Nb 2.02
O 0.0714 0.3034 0.1330 x8  1 Se 1.75
O 0.2284 0.0263 0.0444 x8  1 Nb 1.98, 1 Se 2.07

Summary:
formation energy (no corrections)	-1.649	eV per atom

=====

Entry from Alexandria via LeMat-Bulk: an optimized crystal structure of Na2NbSeO6 (PBE).

a b c (Å): 5.4589 5.4589 4.3034
angles (deg): 90.00 90.00 90.00
With the nearest neighbours (Å) after each atom.
Space group P4mm (No. 99)
One atom of each set of equivalent atoms:
Na 0.0000 0.5000 0.0000 x2  8 O 2.54-2.81
Nb 0.0000 0.0000 0.5402 x1  5 O 1.84-1.99
Se 0.5000 0.5000 0.5481 x1  1 O 1.69
O 0.0000 0.0000 0.1124 x1  1 Nb 1.84
O 0.2546 0.2546 0.6180 x4  1 Se 1.92, 1 Nb 1.99
O 0.5000 0.5000 0.1561 x1  1 Se 1.69

Summary:
formation energy (no corrections)	-1.595	eV per atom

=====

Entry from Alexandria via LeMat-Bulk: an optimized crystal structure of Na2NbSe2O2 (PBE).

a b c (Å): 13.2407 3.7225 5.8330
angles (deg): 90.00 114.05 90.00
With the nearest neighbours (Å) after each atom.
Space group C2/m (No. 12)
One atom of each set of equivalent atoms:
Na 0.2310 0.0000 0.2708 x4  3 O 2.34
Nb 0.0000 0.0000 0.5000 x2  2 O 1.91
Se 0.0563 0.5000 0.8721 x4  1 Se 2.50, 2 Nb 2.72
O 0.1541 0.0000 0.5679 x4  1 Nb 1.91

Summary:
formation energy (no corrections)	-1.389	eV per atom

=====

Entry from Alexandria via LeMat-Bulk: an optimized crystal structure of Na3Sm3NbO8 (PBE).

a b c (Å): 6.9147 6.9147 16.7778
angles (deg): 90.00 90.00 120.00
With the nearest neighbours (Å) after each atom.
Space group R-3m (No. 166, hexagonal axes)
One atom of each set of equivalent atoms:
Na 0.0000 0.5000 0.0000 x9  6 O 2.54-2.55
Sm 0.0000 0.5000 0.5000 x9  6 O 2.34-2.37
Nb 0.0000 0.0000 0.5000 x3  6 O 2.12
O 0.0000 0.0000 0.2396 x6  3 Sm 2.34, 3 Na 2.54
O 0.0322 0.5161 0.2327 x18  1 Nb 2.12

Summary:
formation energy (no corrections)	-2.611	eV per atom

=====

Entry from Alexandria via LeMat-Bulk: an optimized crystal structure of NaSrNbSnO6 (PBE).

a b c (Å): 8.1221 8.1221 8.1221
angles (deg): 90.00 90.00 90.00
With the nearest neighbours (Å) after each atom.
Space group F-43m (No. 216)
One atom of each set of equivalent atoms:
Na 0.0000 0.0000 0.0000 x4  12 O 2.87
Sr 0.0000 0.0000 0.5000 x4  12 O 2.87
Nb 0.2500 0.2500 0.7500 x4  6 O 2.00
Sn 0.2500 0.2500 0.2500 x4  6 O 2.06
O 0.0036 0.2500 0.7500 x24  1 Nb 2.00, 1 Sn 2.06

Summary:
formation energy (no corrections)	-2.295	eV per atom